# EuGdCd2

A relaxed EuGdCd2 crystal (PBE, Alexandria via LeMat-Bulk).

abc: 5.443 5.443 5.443
angles: 60.00 60.00 60.00
Last column: magnetic moment on the atom in μB.
Element x y z (fractional)
Eu: 0.500 0.500 0.500  -6.84
Gd: 0.000 0.000 0.000  7.04
Cd: 0.250 0.250 0.250  0.00
Cd: 0.750 0.750 0.750  0.00

The relative energy among the computed polymorphs is 0.06 eV/f.u. The space group is Fm-3m. Its total moment is 0.11 μB/f.u.

***

# CrCu2Rh

A relaxed CrCu2Rh crystal (PBE, Alexandria via LeMat-Bulk).

abc: 4.723 4.723 4.723
angles: 135.03 135.01 65.50
Last column: magnetic moment on the atom in μB.
Element x y z (fractional)
Cr: 0.250 0.750 0.500  2.62
Cu: 0.000 0.000 0.000  0.03
Cu: 0.500 0.500 0.000  0.03
Rh: 0.750 0.250 0.500  -0.10

The space group is I4/mmm. Its total moment is 2.70 μB/f.u. For the total energy, the calculation gives -6.188 eV per atom.

***

no.,calculated volume (Å³ per cell)
1,114
2,52